Entry from the Alexandria database: a geometry-optimized Sr2Mg3AlSn4 structure (PBE-GGA).

Unit cell a=4.855 b=4.855 c=11.876 alpha=90.00 beta=90.00 gamma=90.00
Positions (direct):
Sr: 0.000 0.500 0.250
Sr: 0.500 0.000 0.750
Mg: 0.000 0.000 0.000
Mg: 0.000 0.500 0.636
Mg: 0.500 0.000 0.364
Al: 0.500 0.500 0.000
Sn: 0.000 0.000 0.500
Sn: 0.000 0.500 0.869
Sn: 0.500 0.000 0.131
Sn: 0.500 0.500 0.500

Computed properties:
formation energy	-0.36	eV/atom

Entry from the Alexandria database: a geometry-optimized SrMgAlSn2 structure (PBE-GGA).

Unit cell a=7.420 b=7.420 c=7.420 alpha=144.41 beta=144.41 gamma=51.22
Positions (direct):
Sr: 0.000 0.000 0.000
Mg: 0.250 0.750 0.500
Al: 0.750 0.250 0.500
Sn: 0.384 0.384 0.000
Sn: 0.616 0.616 0.000

Computed properties:
formation energy	-0.32	eV/atom

Entry from the Alexandria database: a geometry-optimized MgAl2TlSn structure (PBE-GGA).

Unit cell a=5.206 b=5.206 c=5.471 alpha=90.00 beta=90.00 gamma=90.00
Positions (direct):
Mg: 0.000 0.000 0.000
Al: 0.000 0.500 0.000
Al: 0.500 0.000 0.000
Tl: 0.500 0.500 0.500
Sn: 0.000 0.000 0.500

Computed properties:
formation energy	0.60	eV/atom

Entry from the Alexandria database: a geometry-optimized SrMg4Al structure (PBE-GGA).

Unit cell a=8.690 b=4.559 c=8.049 alpha=90.00 beta=90.00 gamma=90.00
Positions (direct):
Sr: 0.250 0.000 0.120
Sr: 0.750 0.000 0.880
Mg: 0.000 0.000 0.500
Mg: 0.060 0.500 0.803
Mg: 0.250 0.500 0.462
Mg: 0.440 0.500 0.803
Mg: 0.500 0.000 0.500
Mg: 0.560 0.500 0.197
Mg: 0.750 0.500 0.538
Mg: 0.940 0.500 0.197
Al: 0.250 0.000 0.712
Al: 0.750 0.000 0.288

Computed properties:
formation energy	-0.07	eV/atom

Entry from the Alexandria database: a geometry-optimized SrMgAl structure (PBE-GGA).

Unit cell a=8.549 b=8.549 c=8.549 alpha=147.76 beta=147.76 gamma=46.24
Positions (direct):
Sr: 0.172 0.172 0.000
Sr: 0.828 0.828 0.000
Mg: 0.000 0.500 0.500
Mg: 0.500 0.000 0.500
Al: 0.395 0.395 0.000
Al: 0.605 0.605 0.000

Computed properties:
formation energy	-0.12	eV/atom

Entry from the Alexandria database: a geometry-optimized SrMgAl3 structure (PBE-GGA).

Unit cell a=5.823 b=5.823 c=5.823 alpha=90.00 beta=90.00 gamma=90.00
Positions (direct):
Sr: 0.000 0.000 0.000
Mg: 0.500 0.500 0.500
Al: 0.000 0.000 0.500
Al: 0.000 0.500 0.000
Al: 0.500 0.000 0.000

Computed properties:
formation energy	1.31	eV/atom

Entry from the Alexandria database: a geometry-optimized Sr3MgAl structure (PBE-GGA).

Unit cell a=6.279 b=6.279 c=6.279 alpha=90.00 beta=90.00 gamma=90.00
Positions (direct):
Sr: 0.000 0.000 0.500
Sr: 0.000 0.500 0.000
Sr: 0.500 0.000 0.000
Mg: 0.500 0.500 0.500
Al: 0.000 0.000 0.000

Computed properties:
formation energy	0.21	eV/atom

Entry from the Alexandria database: a geometry-optimized SrMg14Al structure (PBE-GGA).

Unit cell a=6.561 b=6.561 c=10.394 alpha=90.00 beta=90.00 gamma=120.00
Positions (direct):
Sr: 0.000 0.000 0.000
Mg: 0.012 0.506 0.000
Mg: 0.168 0.335 0.267
Mg: 0.168 0.335 0.733
Mg: 0.168 0.832 0.267
Mg: 0.168 0.832 0.733
Mg: 0.494 0.506 0.000
Mg: 0.494 0.988 0.000
Mg: 0.505 0.010 0.500
Mg: 0.505 0.495 0.500
Mg: 0.665 0.832 0.267
Mg: 0.665 0.832 0.733
Mg: 0.667 0.333 0.242
Mg: 0.667 0.333 0.758
Mg: 0.990 0.495 0.500
Al: 0.000 0.000 0.500

Computed properties:
formation energy	0.05	eV/atom

Entry from the Alexandria database: a geometry-optimized SrMgAl structure (PBE-GGA).

Unit cell a=6.421 b=6.421 c=6.421 alpha=135.16 beta=95.77 gamma=100.97
Positions (direct):
Sr: 0.198 0.250 0.448
Sr: 0.802 0.750 0.552
Mg: 0.587 0.937 0.150
Mg: 0.787 0.437 0.850
Al: 0.237 0.564 0.173
Al: 0.391 0.064 0.827

Computed properties:
formation energy	-0.13	eV/atom

Entry from the Alexandria database: a geometry-optimized SrMgAl structure (PBE-GGA).

Unit cell a=5.188 b=5.188 c=5.188 alpha=60.00 beta=60.00 gamma=60.00
Positions (direct):
Sr: 0.000 0.000 0.000
Mg: 0.500 0.500 0.500
Al: 0.250 0.250 0.250

Computed properties:
formation energy	0.08	eV/atom

Entry from the Alexandria database: a geometry-optimized SrMg2Al structure (PBE-GGA).

Unit cell a=6.325 b=6.325 c=6.325 alpha=145.36 beta=128.69 gamma=63.39
Positions (direct):
Sr: 0.000 0.000 0.000
Mg: 0.284 0.784 0.500
Mg: 0.716 0.216 0.500
Al: 0.500 0.500 0.000

Computed properties:
formation energy	0.03	eV/atom

Entry from the Alexandria database: a geometry-optimized SrMgAl structure (PBE-GGA).

Unit cell a=5.059 b=5.059 c=3.951 alpha=90.00 beta=90.00 gamma=120.00
Positions (direct):
Sr: 0.000 0.000 0.000
Mg: 0.333 0.667 0.500
Al: 0.667 0.333 0.500

Computed properties:
formation energy	-0.10	eV/atom

Entry from the Alexandria database: a geometry-optimized Sr2MgAl structure (PBE-GGA).

Unit cell a=11.109 b=11.109 c=11.109 alpha=20.48 beta=20.48 gamma=20.48
Positions (direct):
Sr: 0.244 0.244 0.244
Sr: 0.756 0.756 0.756
Mg: 0.000 0.000 0.000
Al: 0.500 0.500 0.500

Computed properties:
formation energy	0.14	eV/atom

Entry from the Alexandria database: a geometry-optimized Sr2MgAl2 structure (PBE-GGA).

Unit cell a=7.804 b=7.804 c=5.093 alpha=90.00 beta=90.00 gamma=90.00
Positions (direct):
Sr: 0.174 0.326 0.000
Sr: 0.326 0.826 0.000
Sr: 0.674 0.174 0.000
Sr: 0.826 0.674 0.000
Mg: 0.000 0.000 0.500
Mg: 0.500 0.500 0.500
Al: 0.123 0.623 0.500
Al: 0.377 0.123 0.500
Al: 0.623 0.877 0.500
Al: 0.877 0.377 0.500

Computed properties:
formation energy	-0.09	eV/atom

Entry from the Alexandria database: a geometry-optimized SrMgAl structure (PBE-GGA).

Unit cell a=6.121 b=6.121 c=6.121 alpha=119.92 beta=119.72 gamma=90.31
Positions (direct):
Sr: 0.369 0.119 0.250
Sr: 0.631 0.881 0.750
Mg: 0.000 0.500 0.500
Mg: 0.500 0.500 0.000
Al: 0.000 0.000 0.500
Al: 0.000 0.500 0.000

Computed properties:
formation energy	-0.16	eV/atom

Entry from the Alexandria database: a geometry-optimized Sr2MgAl structure (PBE-GGA).

Unit cell a=7.993 b=7.993 c=7.993 alpha=35.89 beta=35.89 gamma=35.89
Positions (direct):
Sr: 0.000 0.000 0.000
Sr: 0.182 0.182 0.182
Mg: 0.423 0.423 0.423
Al: 0.760 0.760 0.760

Computed properties:
formation energy	-0.04	eV/atom

Entry from the Alexandria database: a geometry-optimized SrMgAl3 structure (PBE-GGA).

Unit cell a=5.187 b=5.187 c=5.187 alpha=90.00 beta=90.00 gamma=90.00
Positions (direct):
Sr: 0.000 0.000 0.000
Mg: 0.500 0.500 0.500
Al: 0.000 0.500 0.500
Al: 0.500 0.000 0.500
Al: 0.500 0.500 0.000

Computed properties:
formation energy	0.40	eV/atom

Entry from the Alexandria database: a geometry-optimized SrMg2Al structure (PBE-GGA).

Unit cell a=11.241 b=11.241 c=11.241 alpha=155.49 beta=155.49 gamma=34.93
Positions (direct):
Sr: 0.000 0.000 0.000
Sr: 0.750 0.250 0.500
Mg: 0.194 0.625 0.069
Mg: 0.375 0.444 0.569
Mg: 0.556 0.125 0.931
Mg: 0.875 0.806 0.431
Al: 0.250 0.750 0.500
Al: 0.500 0.500 0.000

Computed properties:
formation energy	0.23	eV/atom

Entry from the Alexandria database: a geometry-optimized SrMg6Al2 structure (PBE-GGA).

Unit cell a=4.617 b=4.617 c=10.398 alpha=90.00 beta=90.00 gamma=90.00
Positions (direct):
Sr: 0.000 0.000 0.000
Mg: 0.000 0.000 0.500
Mg: 0.000 0.500 0.287
Mg: 0.000 0.500 0.713
Mg: 0.500 0.000 0.287
Mg: 0.500 0.000 0.713
Mg: 0.500 0.500 0.500
Al: 0.500 0.500 0.125
Al: 0.500 0.500 0.875

Computed properties:
formation energy	-0.07	eV/atom

Entry from the Alexandria database: a geometry-optimized Sr2MgAl structure (PBE-GGA).

Unit cell a=4.295 b=5.104 c=6.786 alpha=90.00 beta=108.29 gamma=90.00
Positions (direct):
Sr: 0.000 0.000 0.000
Sr: 0.301 0.500 0.603
Mg: 0.705 0.000 0.414
Al: 0.586 0.500 0.172

Computed properties:
formation energy	-0.07	eV/atom